Compound: Sc11Ga10
Source: the Alexandria database
Functional: SCAN
Structure: single point on PBEsol structure

POSCAR file:
```
Sc11Ga10
1.0
-5.148 5.148 7.563
5.148 -5.148 7.563
5.148 5.148 -7.563
Sc Ga
22 20
Direct
0.070 0.315 0.754
0.105 0.432 0.327
0.105 0.778 0.673
0.166 0.166 0.000
0.222 0.895 0.327
0.315 0.070 0.754
0.315 0.561 0.246
0.321 0.321 0.643
0.321 0.679 0.000
0.432 0.105 0.327
0.439 0.685 0.754
0.561 0.315 0.246
0.568 0.895 0.673
0.679 0.321 0.000
0.679 0.679 0.357
0.685 0.439 0.754
0.685 0.930 0.246
0.778 0.105 0.673
0.834 0.834 0.000
0.895 0.222 0.327
0.895 0.568 0.673
0.930 0.685 0.246
0.031 0.031 0.414
0.031 0.617 0.000
0.125 0.125 0.251
0.125 0.875 0.000
0.132 0.500 0.632
0.250 0.750 0.500
0.383 0.383 0.414
0.383 0.969 0.000
0.399 0.399 0.000
0.500 0.132 0.632
0.500 0.868 0.368
0.601 0.601 0.000
0.617 0.031 0.000
0.617 0.617 0.586
0.750 0.250 0.500
0.868 0.500 0.368
0.875 0.125 0.000
0.875 0.875 0.749
0.969 0.383 0.000
0.969 0.969 0.586
```

Output
* calculated density: 4.936 g/cm3
* VASP energy: -15.93 eV per atom
* SG: No. 139
* spin magnetization: 0.0 μB per cell
* calculated formation energy: -0.688 eV/atom

=====

Compound: ScGa3
Source: the Alexandria database
Functional: SCAN
Structure: single point on PBEsol structure

POSCAR file:
```
ScGa3
1.0
4.046 0.000 0.000
0.000 4.046 0.000
0.000 0.000 4.046
Sc Ga
1 3
Direct
0.000 0.000 0.000
0.000 0.500 0.500
0.500 0.000 0.500
0.500 0.500 0.000
```

Output
* calculated density: 6.370 g/cm3
* VASP energy: -16.40 eV per atom
* SG: No. 221
* spin magnetization: 0.0 μB per cell
* calculated formation energy: -0.579 eV/atom

=====

Compound: ScGa
Source: the Alexandria database
Functional: SCAN
Structure: single point on PBEsol structure

POSCAR file:
```
ScGa
1.0
1.988 -5.069 0.000
1.988 5.069 0.000
0.000 0.000 3.836
Sc Ga
2 2
Direct
0.140 0.860 0.750
0.860 0.140 0.250
0.419 0.581 0.750
0.581 0.419 0.250
```

Output
* calculated density: 4.925 g/cm3
* VASP energy: -16.01 eV per atom
* SG: No. 63
* spin magnetization: 0.2 μB per cell
* calculated formation energy: -0.719 eV/atom

=====

Compound: ScZnGaSn2
Source: the Alexandria database
Functional: SCAN
Structure: single point on PBEsol structure

POSCAR file:
```
ScZnGaSn2
1.0
5.102 0.000 0.000
0.000 5.102 0.000
0.000 0.000 5.095
Sc Zn Ga Sn
1 1 1 2
Direct
0.000 0.000 0.000
0.500 0.500 0.000
0.000 0.000 0.500
0.000 0.500 0.500
0.500 0.000 0.500
```

Output
* calculated density: 5.228 g/cm3
* VASP energy: -22.78 eV per atom
* SG: No. 123
* spin magnetization: 0.0 μB per cell
* calculated formation energy: 0.413 eV/atom

=====

Compound: Sc2TaGa2
Source: the Alexandria database
Functional: SCAN
Structure: single point on PBEsol structure

POSCAR file:
```
Sc2TaGa2
1.0
-1.718 1.718 8.586
1.718 -1.718 8.586
1.718 1.718 -8.586
Sc Ta Ga
2 1 2
Direct
0.103 0.103 0.000
0.897 0.897 0.000
0.500 0.500 0.000
0.250 0.750 0.500
0.750 0.250 0.500
```

Output
* calculated density: 6.724 g/cm3
* VASP energy: -25.37 eV per atom
* SG: No. 139
* spin magnetization: 0.0 μB per cell
* calculated formation energy: 0.183 eV/atom

=====

Compound: ScGa2Tc2
Source: the Alexandria database
Functional: SCAN
Structure: single point on PBEsol structure

POSCAR file:
```
ScGa2Tc2
1.0
6.855 0.000 0.000
0.000 6.855 0.000
0.000 0.000 3.235
Sc Ga Tc
2 4 4
Direct
0.000 0.000 0.000
0.500 0.500 0.000
0.130 0.370 0.000
0.370 0.870 0.000
0.630 0.130 0.000
0.870 0.630 0.000
0.167 0.667 0.500
0.333 0.167 0.500
0.667 0.833 0.500
0.833 0.333 0.500
```

Output
* calculated density: 8.312 g/cm3
* VASP energy: -23.82 eV per atom
* SG: No. 127
* spin magnetization: 1.9 μB per cell
* calculated formation energy: -0.412 eV/atom

=====

Compound: ScZn2GaTe
Source: the Alexandria database
Functional: SCAN
Structure: single point on PBEsol structure

POSCAR file:
```
ScZn2GaTe
1.0
5.105 0.000 0.000
0.000 5.105 0.000
0.000 0.000 5.252
Sc Zn Ga Te
1 2 1 1
Direct
0.000 0.000 0.000
0.000 0.500 0.000
0.500 0.000 0.000
0.000 0.000 0.500
0.500 0.500 0.500
```

Output
* raw formation energy: 0.6908 eV/atom
* calculated density: 4.527 g/cm3
* VASP energy: -18.28 eV per atom
* SG: No. 123
* spin magnetization: 0.0 μB per cell

=====

Compound: ScTi2Ga4
Source: the Alexandria database
Functional: SCAN
Structure: single point on PBEsol structure

POSCAR file:
```
ScTi2Ga4
1.0
-3.267 3.267 2.678
3.267 -3.267 2.678
3.267 3.267 -2.678
Sc Ti Ga
1 2 4
Direct
0.000 0.000 0.000
0.250 0.750 0.500
0.750 0.250 0.500
0.300 0.300 0.601
0.300 0.700 0.000
0.700 0.300 0.000
0.700 0.700 0.399
```

Output
* calculated density: 6.092 g/cm3
* VASP energy: -16.58 eV per atom
* SG: No. 139
* spin magnetization: 0.0 μB per cell
* calculated formation energy: -0.628 eV/atom

=====

Compound: Sc2TlGa
Source: the Alexandria database
Functional: SCAN
Structure: single point on PBEsol structure

POSCAR file:
```
Sc2TlGa
1.0
0.000 3.435 3.435
3.435 0.000 3.435
3.435 3.435 0.000
Sc Tl Ga
2 1 1
Direct
0.250 0.250 0.250
0.750 0.750 0.750
0.000 0.000 0.000
0.500 0.500 0.500
```

Output
* calculated density: 7.459 g/cm3
* VASP energy: -29.84 eV per atom
* SG: No. 225
* spin magnetization: 0.0 μB per cell
* calculated formation energy: -0.543 eV/atom

=====

Compound: Sc2TlGa2
Source: the Alexandria database
Functional: SCAN
Structure: single point on PBEsol structure

POSCAR file:
```
Sc2TlGa2
1.0
7.568 0.000 0.000
0.000 7.568 0.000
0.000 0.000 3.384
Sc Tl Ga
4 2 4
Direct
0.180 0.320 0.000
0.320 0.820 0.000
0.680 0.180 0.000
0.820 0.680 0.000
0.000 0.000 0.500
0.500 0.500 0.500
0.117 0.617 0.500
0.383 0.117 0.500
0.617 0.883 0.500
0.883 0.383 0.500
```

Output
* calculated density: 7.432 g/cm3
* VASP energy: -27.25 eV per atom
* SG: No. 127
* spin magnetization: 0.0 μB per cell
* calculated formation energy: -0.547 eV/atom

=====

Compound: ZrScTlGa2
Source: the Alexandria database
Functional: SCAN
Structure: single point on PBEsol structure

POSCAR file:
```
ZrScTlGa2
1.0
4.866 0.000 0.000
0.000 4.866 0.000
0.000 0.000 5.168
Zr Sc Tl Ga
1 1 1 2
Direct
0.000 0.000 0.000
0.500 0.500 0.500
0.500 0.500 0.000
0.000 0.500 0.500
0.500 0.000 0.500
```

Output
* calculated density: 6.514 g/cm3
* VASP energy: -29.40 eV per atom
* SG: No. 123
* spin magnetization: 0.0 μB per cell
* calculated formation energy: 0.599 eV/atom

=====

Compound: ScV2Ga4
Source: the Alexandria database
Functional: SCAN
Structure: single point on PBEsol structure

POSCAR file:
```
ScV2Ga4
1.0
-3.202 3.202 2.559
3.202 -3.202 2.559
3.202 3.202 -2.559
Sc V Ga
1 2 4
Direct
0.000 0.000 0.000
0.250 0.750 0.500
0.750 0.250 0.500
0.300 0.300 0.601
0.300 0.700 0.000
0.700 0.300 0.000
0.700 0.700 0.399
```

Output
* calculated density: 6.735 g/cm3
* VASP energy: -16.90 eV per atom
* SG: No. 139
* spin magnetization: 0.0 μB per cell
* calculated formation energy: -0.529 eV/atom

=====

Compound: Y2ScGa2
Source: the Alexandria database
Functional: SCAN
Structure: single point on PBEsol structure

POSCAR file:
```
Y2ScGa2
1.0
7.377 0.000 0.000
0.000 7.377 0.000
0.000 0.000 4.216
Y Sc Ga
4 2 4
Direct
0.176 0.324 0.000
0.324 0.824 0.000
0.676 0.176 0.000
0.824 0.676 0.000
0.000 0.000 0.500
0.500 0.500 0.500
0.123 0.623 0.500
0.377 0.123 0.500
0.623 0.877 0.500
0.877 0.377 0.500
```

Output
* calculated density: 5.243 g/cm3
* VASP energy: -21.20 eV per atom
* SG: No. 127
* spin magnetization: 0.0 μB per cell
* calculated formation energy: -0.678 eV/atom

=====

Compound: YScGa2
Source: the Alexandria database
Functional: SCAN
Structure: single point on PBEsol structure

POSCAR file:
```
YScGa2
1.0
0.000 3.418 3.418
3.418 0.000 3.418
3.418 3.418 0.000
Y Sc Ga
1 1 2
Direct
0.000 0.000 0.000
0.500 0.500 0.500
0.250 0.250 0.250
0.750 0.750 0.750
```

Output
* calculated density: 5.681 g/cm3
* VASP energy: -19.37 eV per atom
* SG: No. 225
* spin magnetization: 0.0 μB per cell
* calculated formation energy: -0.675 eV/atom

=====

Compound: Sc2ZnGa
Source: the Alexandria database
Functional: SCAN
Structure: single point on PBEsol structure

POSCAR file:
```
Sc2ZnGa
1.0
0.000 3.298 3.298
3.298 0.000 3.298
3.298 3.298 0.000
Sc Zn Ga
2 1 1
Direct
0.250 0.250 0.250
0.750 0.750 0.750
0.000 0.000 0.000
0.500 0.500 0.500
```

Output
* calculated density: 5.210 g/cm3
* VASP energy: -15.19 eV per atom
* SG: No. 225
* spin magnetization: 0.0 μB per cell
* calculated formation energy: -0.609 eV/atom

=====

Compound: ZrSc2Ga2
Source: the Alexandria database
Functional: SCAN
Structure: single point on PBEsol structure

POSCAR file:
```
ZrSc2Ga2
1.0
7.584 0.000 0.000
0.000 7.584 0.000
0.000 0.000 3.364
Zr Sc Ga
2 4 4
Direct
0.000 0.000 0.000
0.500 0.500 0.000
0.177 0.323 0.500
0.323 0.823 0.500
0.677 0.177 0.500
0.823 0.677 0.500
0.123 0.623 0.000
0.377 0.123 0.000
0.623 0.877 0.000
0.877 0.377 0.000
```

Output
* calculated density: 5.502 g/cm3
* VASP energy: -18.94 eV per atom
* SG: No. 127
* spin magnetization: 0.0 μB per cell
* calculated formation energy: -0.570 eV/atom

=====

Compound: GaSiSe3
Source: the Alexandria database
Functional: SCAN
Structure: single point on PBEsol structure

POSCAR file:
```
GaSiSe3
1.0
4.856 0.000 0.000
0.000 4.856 0.000
0.000 0.000 4.856
Ga Si Se
1 1 3
Direct
0.000 0.000 0.000
0.500 0.500 0.500
0.000 0.000 0.500
0.000 0.500 0.000
0.500 0.000 0.000
```

Output
* raw formation energy: 0.5750 eV/atom
* calculated density: 4.855 g/cm3
* VASP energy: -16.74 eV per atom
* SG: No. 221
* spin magnetization: 0.0 μB per cell

=====

Compound: GaSi2Se
Source: the Alexandria database
Functional: SCAN
Structure: single point on PBEsol structure

POSCAR file:
```
GaSi2Se
1.0
0.000 3.232 3.232
3.232 0.000 3.232
3.232 3.232 0.000
Ga Si Se
1 2 1
Direct
0.000 0.000 0.000
0.250 0.250 0.250
0.750 0.750 0.750
0.500 0.500 0.500
```

Output
* raw formation energy: 0.6839 eV/atom
* calculated density: 5.038 g/cm3
* VASP energy: -13.43 eV per atom
* SG: No. 225
* spin magnetization: 0.0 μB per cell

=====

Compound: Sm9Ga5Se21
Source: the Alexandria database
Functional: SCAN
Structure: single point on PBEsol structure

POSCAR file:
```
Sm9Ga5Se21
1.0
8.768 5.062 6.331
-8.768 5.062 6.331
0.000 -10.124 6.331
Sm Ga Se
18 10 42
Direct
0.010 0.803 0.634
0.019 0.179 0.801
0.119 0.339 0.495
0.132 0.985 0.356
0.179 0.801 0.019
0.320 0.698 0.478
0.339 0.495 0.119
0.356 0.132 0.985
0.458 0.674 0.831
0.478 0.320 0.698
0.495 0.119 0.339
0.634 0.010 0.803
0.674 0.831 0.458
0.698 0.478 0.320
0.801 0.019 0.179
0.803 0.634 0.010
0.831 0.458 0.674
0.985 0.356 0.132
0.097 0.097 0.097
0.126 0.470 0.793
0.292 0.965 0.632
0.392 0.392 0.392
0.470 0.793 0.126
0.595 0.595 0.595
0.632 0.292 0.965
0.793 0.126 0.470
0.894 0.894 0.894
0.965 0.632 0.292
0.006 0.902 0.142
0.034 0.185 0.290
0.036 0.597 0.112
0.061 0.546 0.623
0.091 0.755 0.418
0.112 0.036 0.597
0.142 0.006 0.902
0.185 0.290 0.034
0.212 0.305 0.725
0.228 0.483 0.338
0.249 0.784 0.699
0.253 0.591 0.920
0.290 0.034 0.185
0.305 0.725 0.212
0.338 0.228 0.483
0.358 0.934 0.447
0.389 0.526 0.628
0.409 0.879 0.957
0.418 0.091 0.755
0.447 0.358 0.934
0.483 0.338 0.228
0.526 0.628 0.389
0.546 0.623 0.061
0.547 0.802 0.655
0.591 0.920 0.253
0.597 0.112 0.036
0.623 0.061 0.546
0.628 0.389 0.526
0.655 0.547 0.802
0.699 0.249 0.784
0.720 0.858 0.976
0.725 0.212 0.305
0.755 0.418 0.091
0.784 0.699 0.249
0.802 0.655 0.547
0.858 0.976 0.720
0.879 0.957 0.409
0.902 0.142 0.006
0.920 0.253 0.591
0.934 0.447 0.358
0.957 0.409 0.879
0.976 0.720 0.858
```

Output
* raw formation energy: -1.5879 eV/atom
* calculated density: 6.619 g/cm3
* VASP energy: -27.40 eV per atom
* SG: No. 146
* spin magnetization: 0.0 μB per cell

=====

Compound: SrGaSe3
Source: the Alexandria database
Functional: SCAN
Structure: single point on PBEsol structure

POSCAR file:
```
SrGaSe3
1.0
5.710 0.000 0.000
0.000 5.710 0.000
0.000 0.000 5.710
Sr Ga Se
1 1 3
Direct
0.000 0.000 0.000
0.500 0.500 0.500
0.000 0.000 0.500
0.000 0.500 0.000
0.500 0.000 0.000
```

Output
* raw formation energy: 0.0032 eV/atom
* calculated density: 3.517 g/cm3
* VASP energy: -19.77 eV per atom
* SG: No. 221
* spin magnetization: 3.0 μB per cell

=====

Compound: GaTc3Se
Source: the Alexandria database
Functional: SCAN
Structure: single point on PBEsol structure

POSCAR file:
```
GaTc3Se
1.0
4.508 0.000 0.000
0.000 4.508 0.000
0.000 0.000 4.508
Ga Tc Se
1 3 1
Direct
0.000 0.000 0.000
0.000 0.000 0.500
0.000 0.500 0.000
0.500 0.000 0.000
0.500 0.500 0.500
```

Output
* raw formation energy: 1.6643 eV/atom
* calculated density: 8.022 g/cm3
* VASP energy: -26.66 eV per atom
* SG: No. 221
* spin magnetization: 3.2 μB per cell

=====

Compound: Ga2TeSe2
Source: the Alexandria database
Functional: SCAN
Structure: single point on PBEsol structure

POSCAR file:
```
Ga2TeSe2
1.0
-3.625 3.625 5.336
3.625 -3.625 5.336
3.625 3.625 -5.336
Ga Te Se
4 2 4
Direct
0.226 0.000 0.226
0.750 0.024 0.274
0.750 0.476 0.726
0.774 0.000 0.774
0.348 0.848 0.500
0.598 0.598 0.000
0.473 0.226 0.247
0.976 0.229 0.253
0.976 0.723 0.747
0.979 0.226 0.753
```

Output
* raw formation energy: -0.5509 eV/atom
* calculated density: 5.033 g/cm3
* VASP energy: -22.57 eV per atom
* SG: No. 109
* spin magnetization: 0.0 μB per cell